Entry 1:
An optimized crystal structure of KCdTe2, computed with PBE-GGA.

Summary:
D(E_F) = 1.21 states/eV/cell
Space-group type = P2/m (10)
Crystal system = monoclinic

abc: 3.5949 4.3131 8.7851
angles: 90.00 90.18 90.00
Atoms (fractional coordinates):
K  0.0000  0.0000  0.0000
Cd  0.5000  0.0000  0.5000
Te  0.4994  0.5000  0.2689
Te  0.5006  0.5000  0.7311

***

Entry 2:
An optimized crystal structure of K2CdTe2, computed with PBE-GGA.

Summary:
D(E_F) = 5.68 states/eV/cell
Space-group type = P4/mbm (127)
Crystal system = tetragonal

abc: 10.6397 10.6397 3.2619
angles: 90.00 90.00 90.00
Atoms (fractional coordinates):
K  0.1346  0.3654  0.0000
K  0.3654  0.8654  0.0000
K  0.6346  0.1346  0.0000
K  0.8654  0.6346  0.0000
Cd  0.0000  0.0000  0.0000
Cd  0.5000  0.5000  0.0000
Te  0.1617  0.6617  0.5000
Te  0.3383  0.1617  0.5000
Te  0.6617  0.8383  0.5000
Te  0.8383  0.3383  0.5000

***

no.,formation energy from raw total energies (eV/atom)
1,-0.42
2,-0.46